Material: TaTiZn2
Method: DFT, PBE
State: optimized geometry

Cell: 7.185 7.185 5.237 Å, 90.00 90.00 90.00°
Space group I-42d (No. 122)
One atom of each set of equivalent atoms:
Ta: 0.000 0.000 0.000 (multiplicity 4)
Ti: 0.000 0.000 0.500 (multiplicity 4)
Zn: 0.244 0.250 0.625 (multiplicity 8)

Results
- DFT total energy: -5.2173 eV/atom